The following is a DFT calculation (PBE) of Li2GaAg after structural relaxation.

Values from the calculation:
* E_tot: -10.373 eV per cell
* energy of formation: -167 meV/atom
* symmetry: No. 160
* spin magnetization: 0.000 μB per formula unit
* density: 4.8 g cm⁻³

Lattice parameters (Å, degrees): 2.9336 2.9336 9.1134 80.74 80.74 60.00
Closest atoms and distances in Å follow each position.
Atoms (fractional coordinates):
Ag 0.6666 0.6666 0.0002  6 Li 2.81-2.82, 6 Ag 2.93
Ga 0.5001 0.5001 0.4996  6 Li 2.80, 6 Ga 2.93
Li 0.0836 0.0836 0.7491  3 Ga 2.80, 3 Ag 2.82, 6 Li 2.93
Li 0.2496 0.2496 0.2511  3 Ga 2.80, 3 Ag 2.81, 6 Li 2.93